Entry from the Alexandria database: UPa3Se6 after structural relaxation (PBE).

The space group is P2_1/m (No. 11) and the conventional cell measures 11.5306, 3.9418 and 11.9680 Å, with angles of 90.00, 107.58 and 90.00 degrees. The inequivalent atoms are U at (0.0446, 0.2500, 0.1945), Pa at (0.1360, 0.2500, 0.5688), Pa at (0.3183, 0.7500, 0.9983), Pa at (0.4249, 0.2500, 0.3372), Se at (0.0939, 0.7500, 0.3874), Se at (0.1168, 0.2500, 0.9626), Se at (0.1934, 0.7500, 0.7496), Se at (0.2503, 0.7500, 0.2163), Se at (0.3892, 0.2500, 0.5678) and Se at (0.4953, 0.2500, 0.1278).

The value obtained for the total magnetization is 1.11 μB/f.u. The final energy is -145.8 eV per cell. The calculation puts the relative energy among the computed polymorphs at 0.000 eV/atom. The uncorrected formation energy comes out at -1.221 eV per atom. The volume is 25.93 Å³/atom. As for the density of states at the Fermi level: 17.2 states/eV/f.u.



Entry from the Alexandria database: Li7La3Tl4 after structural relaxation (PBE).

The space group is C2/m (No. 12) and the conventional cell measures 17.3597, 5.0226 and 9.0920 Å, with angles of 90.00, 121.04 and 90.00 degrees. The inequivalent atoms are Li at (0.0000, 0.0000, 0.0000), Li at (0.0088, 0.5000, 0.1802), Li at (0.1440, 0.0000, 0.9564), Li at (0.1605, 0.5000, 0.5074), La at (0.0000, 0.0000, 0.5000), La at (0.2294, 0.5000, 0.2293), Tl at (0.1367, 0.0000, 0.3312) and Tl at (0.1462, 0.5000, 0.7980).

The calculation puts the formation energy from the elements at -0.26 eV per atom. The value obtained for the total magnetization is 0.00 μB/f.u. The final energy is -82.5 eV per cell. The volume is 24.26 Å³/atom. As for the density of states at the Fermi level: 12.4 states/eV/f.u.



Entry from the Alexandria database: PuNb3O8 after structural relaxation (PBE).

The space group is Cm (No. 8) and the conventional cell measures 13.3381, 4.0109 and 7.0366 Å, with angles of 90.00, 104.58 and 90.00 degrees. The inequivalent atoms are Pu at (0.0000, 0.0000, 0.0000), Nb at (0.1095, 0.5000, 0.4443), Nb at (0.2040, 0.5000, 0.0166), Nb at (0.4010, 0.5000, 0.4264), O at (0.0637, 0.0000, 0.4040), O at (0.0669, 0.5000, 0.1094), O at (0.1578, 0.5000, 0.7230), O at (0.1858, 0.0000, 0.0153), O at (0.2446, 0.5000, 0.3636), O at (0.3547, 0.5000, 0.1031), O at (0.4148, 0.5000, 0.6942) and O at (0.4439, 0.0000, 0.4116).

The value obtained for the total magnetization is 6.70 μB/f.u. The final energy is -229.2 eV per cell. The uncorrected formation energy comes out at -2.533 eV per atom. The volume is 15.18 Å³/atom. As for the density of states at the Fermi level: 11.6 states/eV/f.u.



Entry from the Alexandria database: BaY2Cl after structural relaxation (PBE).

The space group is P4mm (No. 99) and the conventional cell measures 3.6825, 3.6825 and 9.9979 Å, with angles of 90.00, 90.00 and 90.00 degrees. The inequivalent atoms are Ba at (0.0000, 0.0000, 0.0000), Y at (0.0000, 0.0000, 0.4472), Y at (0.5000, 0.5000, 0.6839) and Cl at (0.5000, 0.5000, 0.2309).

The value obtained for the total magnetization is 0.27 μB/f.u. The final energy is -18.9 eV per cell. The calculation puts the relative energy among the computed polymorphs at 0.043 eV/atom. The uncorrected formation energy comes out at -0.555 eV per atom. The volume is 33.90 Å³/atom. As for the density of states at the Fermi level: 6.6 states/eV/f.u.



Entry from the Alexandria database: Hg2AsW after structural relaxation (PBE).

The space group is R3m (No. 160, hexagonal axes) and the conventional cell measures 3.1846, 3.1846 and 28.4088 Å, with angles of 90.00, 90.00 and 120.00 degrees. The inequivalent atoms are Hg at (0.0000, 0.0000, 0.0000), Hg at (0.0000, 0.0000, 0.2382), As at (0.0000, 0.0000, 0.4767) and W at (0.0000, 0.0000, 0.7494).

The calculation puts the formation energy from the elements at 0.34 eV per atom. The value obtained for the total magnetization is 0.00 μB/f.u. The final energy is -50.6 eV per cell. The volume is 20.79 Å³/atom. As for the density of states at the Fermi level: 4.1 states/eV/f.u.



Entry from the Alexandria database: ZnTcAs after structural relaxation (PBE).

The space group is P-6m2 (No. 187) and the conventional cell measures 4.1347, 4.1347 and 3.2925 Å, with angles of 90.00, 90.00 and 120.00 degrees. The inequivalent atoms are Zn at (0.0000, 0.0000, 0.0000), Tc at (0.3333, 0.6667, 0.5000) and As at (0.6667, 0.3333, 0.5000).

The calculation puts the formation energy from the elements at 0.15 eV per atom. The value obtained for the total magnetization is 0.00 μB/f.u. The final energy is -15.8 eV per cell. The calculation puts the relative energy among the computed polymorphs at 0.276 eV/atom. The volume is 16.25 Å³/atom. As for the density of states at the Fermi level: 1.3 states/eV/f.u.